No. 1
# HfAl4Ni15

A relaxed HfAl4Ni15 crystal (PBE, Alexandria via LeMat-Bulk).

Output
E_tot (eV/atom): -6.029

```
data_HfAl4Ni15
_cell_length_a 3.6148
_cell_length_b 3.6148
_cell_length_c 17.8261
_cell_angle_alpha 90.00
_cell_angle_beta 90.00
_cell_angle_gamma 90.00
_symmetry_space_group_name_H-M 'P 4/m m m'
_symmetry_Int_Tables_number 123
_symmetry_space_group_name_Hall '-P 4 2'
loop_
_atom_site_label
_atom_site_type_symbol
_atom_site_fract_x
_atom_site_fract_y
_atom_site_fract_z
_atom_site_occupancy
Hf1 Hf 0.0000 0.0000 0.0000 1
Al1 Al 0.0000 0.0000 0.2062 1
Al2 Al 0.0000 0.0000 0.4019 1
Ni1 Ni 0.0000 0.5000 0.1079 1
Ni2 Ni 0.0000 0.5000 0.3039 1
Ni3 Ni 0.0000 0.5000 0.5000 1
Ni4 Ni 0.5000 0.5000 0.0000 1
Ni5 Ni 0.5000 0.5000 0.2057 1
Ni6 Ni 0.5000 0.5000 0.4022 1
```

=====

No. 2
# Li2NdSm

A relaxed Li2NdSm crystal (PBE, Alexandria via LeMat-Bulk).

Output
E_tot (eV/atom): -3.175

```
data_Li2NdSm
_cell_length_a 7.6088
_cell_length_b 7.6088
_cell_length_c 7.6088
_cell_angle_alpha 90.00
_cell_angle_beta 90.00
_cell_angle_gamma 90.00
_symmetry_space_group_name_H-M 'F m -3 m'
_symmetry_Int_Tables_number 225
_symmetry_space_group_name_Hall '-F 4 2 3'
loop_
_atom_site_label
_atom_site_type_symbol
_atom_site_fract_x
_atom_site_fract_y
_atom_site_fract_z
_atom_site_occupancy
Li1 Li 0.2500 0.2500 0.2500 1
Nd1 Nd 0.0000 0.0000 0.0000 1
Sm1 Sm 0.0000 0.0000 0.5000 1
```

=====

No. 3
# CdHg2Ru

A relaxed CdHg2Ru crystal (PBE, Alexandria via LeMat-Bulk).

Output
E_tot (eV/atom): -2.272

```
data_CdHg2Ru
_cell_length_a 3.0733
_cell_length_b 3.0733
_cell_length_c 29.4719
_cell_angle_alpha 90.00
_cell_angle_beta 90.00
_cell_angle_gamma 120.00
_symmetry_space_group_name_H-M 'R -3 m'
_symmetry_Int_Tables_number 166
_symmetry_space_group_name_Hall '-R 3 2"'
loop_
_atom_site_label
_atom_site_type_symbol
_atom_site_fract_x
_atom_site_fract_y
_atom_site_fract_z
_atom_site_occupancy
Cd1 Cd 0.0000 0.0000 0.0000 1
Hg1 Hg 0.0000 0.0000 0.2434 1
Ru1 Ru 0.0000 0.0000 0.5000 1
```

=====

No. 4
# Sm8AgPt2

A relaxed Sm8AgPt2 crystal (PBE, Alexandria via LeMat-Bulk).

Output
E_tot (eV/atom): -5.177

```
data_Sm8AgPt2
_cell_length_a 8.6482
_cell_length_b 13.5640
_cell_length_c 5.7560
_cell_angle_alpha 90.00
_cell_angle_beta 105.92
_cell_angle_gamma 90.00
_symmetry_space_group_name_H-M 'C 1 m 1'
_symmetry_Int_Tables_number 8
loop_
_symmetry_equiv_pos_as_xyz
'x,y,z'
'x,-y,z'
'x+1/2,y+1/2,z'
'x+1/2,-y+1/2,z'
loop_
_atom_site_label
_atom_site_type_symbol
_atom_site_fract_x
_atom_site_fract_y
_atom_site_fract_z
_atom_site_occupancy
Sm1 Sm 0.0000 0.0000 0.0000 1
Sm2 Sm 0.0906 0.3757 0.7714 1
Sm3 Sm 0.1760 0.1243 0.6033 1
Sm4 Sm 0.2663 0.5000 0.3747 1
Sm5 Sm 0.3832 0.2386 0.1874 1
Ag1 Ag 0.3830 0.0000 0.1882 1
Pt1 Pt 0.3833 0.3005 0.6875 1
```

=====

No. 5
# SrCe5N6

A relaxed SrCe5N6 crystal (PBE, Alexandria via LeMat-Bulk).

Output
ΔE_f (raw) (kJ per mole of atoms): -132

```
data_SrCe5N6
_cell_length_a 6.2451
_cell_length_b 10.8095
_cell_length_c 6.2417
_cell_angle_alpha 90.00
_cell_angle_beta 109.46
_cell_angle_gamma 90.00
_symmetry_space_group_name_H-M 'C 1 2/m 1'
_symmetry_Int_Tables_number 12
loop_
_symmetry_equiv_pos_as_xyz
'x,y,z'
'-x,-y,-z'
'-x,y,-z'
'x,-y,z'
'x+1/2,y+1/2,z'
'-x+1/2,-y+1/2,-z'
'-x+1/2,y+1/2,-z'
'x+1/2,-y+1/2,z'
loop_
_atom_site_label
_atom_site_type_symbol
_atom_site_fract_x
_atom_site_fract_y
_atom_site_fract_z
_atom_site_occupancy
Sr1 Sr 0.0000 0.0000 0.0000 1
Ce1 Ce 0.0000 0.1667 0.5000 1
Ce2 Ce 0.0000 0.3331 0.0000 1
Ce3 Ce 0.0000 0.5000 0.5000 1
N1 N 0.2293 0.5000 0.2587 1
N2 N 0.2352 0.3221 0.7396 1
```

=====

No. 6
# Ca2Be3ZnGe4

A relaxed Ca2Be3ZnGe4 crystal (PBE, Alexandria via LeMat-Bulk).

Output
E_tot (eV/atom): -3.770

```
data_Ca2Be3ZnGe4
_cell_length_a 4.0921
_cell_length_b 4.0921
_cell_length_c 10.0667
_cell_angle_alpha 90.00
_cell_angle_beta 90.00
_cell_angle_gamma 90.00
_symmetry_space_group_name_H-M 'P -4 m 2'
_symmetry_Int_Tables_number 115
loop_
_symmetry_equiv_pos_as_xyz
'x,y,z'
'y,-x,-z'
'-x,-y,z'
'-y,x,-z'
'-x,y,z'
'-y,-x,-z'
'x,-y,z'
'y,x,-z'
loop_
_atom_site_label
_atom_site_type_symbol
_atom_site_fract_x
_atom_site_fract_y
_atom_site_fract_z
_atom_site_occupancy
Ca1 Ca 0.0000 0.5000 0.2467 1
Be1 Be 0.0000 0.5000 0.8702 1
Be2 Be 0.5000 0.5000 0.5000 1
Zn1 Zn 0.0000 0.0000 0.5000 1
Ge1 Ge 0.0000 0.0000 0.0000 1
Ge2 Ge 0.0000 0.5000 0.6428 1
Ge3 Ge 0.5000 0.5000 0.0000 1
```